VASP calculation (GGA-PBE) on an optimized crystal structure of YNbCd2O6.

a b c (Å): 5.6726 5.6727 5.9325
angles (deg): 61.44 61.44 60.00
Fractional coordinates of all 10 atoms:
Y (0.8117, 0.8117, 0.5649)
Nb (0.3126, 0.3126, 0.0623)
Cd (0.5319, 0.5319, 0.4042)
Cd (0.0423, 0.0423, 0.8732)
O (0.5701, 0.2013, 0.2570)
O (0.2014, 0.9715, 0.2569)
O (0.9715, 0.5701, 0.2570)
O (0.4352, 0.6727, 0.7799)
O (0.6727, 0.1123, 0.7799)
O (0.1123, 0.4352, 0.7799)

Values from the calculation:
ΔE_f (raw)   -212.7 kJ/mol of atoms
SG   R3, No. 146